# Pm6DySn6

Pm6DySn6 after structural relaxation (PBE-GGA, the Alexandria database).

Its space group is P6/mmm (191). The value obtained for the formation energy is -40.1 kJ/mol of atoms. For the calculated density, the calculation gives 6.69 g/cm3. The calculation puts the total energy at -62.5 eV per cell.

Cell lengths 7.383, 7.383, 9.170 Å; angles 90.00, 90.00, 120.01 degrees
Element x y z (fractional)
Pm (0.000, 0.500, 0.747)
Pm (0.500, 0.000, 0.747)
Pm (0.500, 0.500, 0.747)
Pm (0.500, 0.000, 0.253)
Pm (0.000, 0.500, 0.253)
Pm (0.500, 0.500, 0.253)
Dy (0.000, 0.000, 0.000)
Sn (0.000, 0.000, 0.663)
Sn (0.000, 0.000, 0.337)
Sn (0.333, 0.667, 0.000)
Sn (0.667, 0.333, 0.000)
Sn (0.333, 0.667, 0.500)
Sn (0.667, 0.333, 0.500)

***

# PmDy5Sn6

PmDy5Sn6 after structural relaxation (PBE-GGA, the Alexandria database).

Its space group is C2/m (12). The value obtained for the formation energy is -60.5 kJ/mol of atoms. For the calculated density, the calculation gives 8.21 g/cm3. The calculation puts the total energy at -59.3 eV per cell.

Cell lengths 9.211, 5.744, 7.627 Å; angles 67.88, 80.69, 64.56 degrees
Element x y z (fractional)
Pm (0.000, 0.000, 0.000)
Dy (0.500, 0.164, 0.673)
Dy (0.000, 0.331, 0.338)
Dy (0.500, 0.500, 0.000)
Dy (0.000, 0.669, 0.662)
Dy (0.500, 0.836, 0.327)
Sn (0.746, 0.089, 0.337)
Sn (0.254, 0.574, 0.337)
Sn (0.247, 0.267, 0.000)
Sn (0.753, 0.733, 0.000)
Sn (0.746, 0.426, 0.663)
Sn (0.254, 0.911, 0.663)

***

# Pm5DySn8

Pm5DySn8 after structural relaxation (PBE-GGA, the Alexandria database).

Its space group is I-4 (82). The value obtained for the formation energy is -53.1 kJ/mol of atoms. For the calculated density, the calculation gives 7.38 g/cm3. The calculation puts the total energy at -68.1 eV per cell.

Cell lengths 8.143, 8.143, 8.143 Å; angles 107.07, 114.39, 107.07 degrees
Element x y z (fractional)
Pm (0.986, 0.363, 0.123)
Pm (0.877, 0.862, 0.240)
Pm (0.760, 0.637, 0.623)
Pm (0.500, 0.000, 0.500)
Pm (0.377, 0.138, 0.014)
Dy (0.250, 0.500, 0.750)
Sn (0.136, 0.737, 0.038)
Sn (0.962, 0.098, 0.699)
Sn (0.796, 0.242, 0.389)
Sn (0.611, 0.407, 0.853)
Sn (0.446, 0.593, 0.204)
Sn (0.601, 0.902, 0.864)
Sn (0.301, 0.263, 0.399)
Sn (0.147, 0.758, 0.554)

***

# Pm6DySn4

Pm6DySn4 after structural relaxation (PBE-GGA, the Alexandria database).

Its space group is I-42m (121). The value obtained for the formation energy is -34.3 kJ/mol of atoms. For the calculated density, the calculation gives 6.52 g/cm3. The calculation puts the total energy at -53.0 eV per cell.

Cell lengths 8.252, 8.252, 8.252 Å; angles 86.45, 122.07, 122.07 degrees
Element x y z (fractional)
Pm (0.000, 0.825, 0.505)
Pm (0.000, 0.505, 0.825)
Pm (0.680, 0.175, 0.175)
Pm (0.500, 0.000, 0.500)
Pm (0.320, 0.495, 0.495)
Pm (0.500, 0.500, 0.000)
Dy (0.000, 0.000, 0.000)
Sn (0.000, 0.172, 0.631)
Sn (0.541, 0.369, 0.369)
Sn (0.000, 0.631, 0.172)
Sn (0.459, 0.828, 0.828)

***

# PmDySn

PmDySn after structural relaxation (PBE-GGA, the Alexandria database).

Its space group is I4/mmm (139). For the distance to the lowest polymorph of the same formula, the calculation gives 0 meV/atom. The value obtained for the formation energy is -58.9 kJ/mol of atoms. For the calculated density, the calculation gives 7.79 g/cm3. The calculation puts the total energy at -30.4 eV per cell.

Cell lengths 4.622, 4.622, 9.110 Å; angles 104.69, 104.69, 90.00 degrees
Element x y z (fractional)
Pm (0.323, 0.323, 0.647)
Pm (0.677, 0.677, 0.353)
Dy (0.500, 0.000, 0.000)
Dy (0.000, 0.500, 0.000)
Sn (0.866, 0.866, 0.732)
Sn (0.134, 0.134, 0.268)

***

# PmDySn2

PmDySn2 after structural relaxation (PBE-GGA, the Alexandria database).

Its space group is P4/mmm (123). The value obtained for the formation energy is -58.0 kJ/mol of atoms. For the calculated density, the calculation gives 8.15 g/cm3. The calculation puts the total energy at -19.8 eV per cell.

Cell lengths 3.397, 5.718, 5.718 Å; angles 90.00, 90.00, 90.00 degrees
Each line ends with the local moment (μB).
Element x y z (fractional)
Pm (0.500, 0.000, 0.000)  0.14
Sn (0.000, 0.000, 0.500)  0.01
Sn (0.000, 0.500, 0.000)  0.01
Dy (0.500, 0.500, 0.500)  0.11

***

# PmDySn2

PmDySn2 after structural relaxation (PBE-GGA, the Alexandria database).

Its space group is P4/mmm (123). The value obtained for the formation energy is -62.7 kJ/mol of atoms. For the calculated density, the calculation gives 8.29 g/cm3. The calculation puts the total energy at -20.0 eV per cell.

Cell lengths 3.497, 3.497, 8.922 Å; angles 90.00, 90.00, 90.00 degrees
Element x y z (fractional)
Pm (0.500, 0.500, 0.000)
Sn (0.000, 0.000, 0.744)
Sn (0.000, 0.000, 0.256)
Dy (0.500, 0.500, 0.500)

***

# PmDySn

PmDySn after structural relaxation (PBE-GGA, the Alexandria database).

Its space group is I4mm (107). For the distance to the lowest polymorph of the same formula, the calculation gives 165 meV/atom. The value obtained for the formation energy is -43.1 kJ/mol of atoms. For the calculated density, the calculation gives 8.35 g/cm3. The calculation puts the total energy at -14.7 eV per cell.

Cell lengths 4.131, 4.131, 5.761 Å; angles 111.01, 111.01, 90.00 degrees
Element x y z (fractional)
Pm (0.275, 0.275, 0.551)
Sn (0.614, 0.614, 0.228)
Dy (0.961, 0.961, 0.922)

***

# Pm8DySn2

Pm8DySn2 after structural relaxation (PBE-GGA, the Alexandria database).

Its space group is C2/m (12). The value obtained for the formation energy is -17.2 kJ/mol of atoms. For the calculated density, the calculation gives 7.15 g/cm3. The calculation puts the total energy at -52.6 eV per cell.

Cell lengths 6.404, 8.971, 8.971 Å; angles 44.82, 94.36, 94.36 degrees
Element x y z (fractional)
Pm (0.404, 0.353, 0.845)
Pm (0.596, 0.155, 0.647)
Pm (0.166, 0.789, 0.789)
Pm (0.834, 0.211, 0.211)
Pm (0.404, 0.845, 0.353)
Pm (0.596, 0.647, 0.155)
Pm (0.898, 0.583, 0.583)
Pm (0.102, 0.417, 0.417)
Dy (0.000, 0.000, 0.000)
Sn (0.669, 0.744, 0.744)
Sn (0.331, 0.256, 0.256)

***

# PmDySn

PmDySn after structural relaxation (PBE-GGA, the Alexandria database).

Its space group is C2/m (12). For the distance to the lowest polymorph of the same formula, the calculation gives 205 meV/atom. The value obtained for the formation energy is -39.2 kJ/mol of atoms. For the calculated density, the calculation gives 7.58 g/cm3. The calculation puts the total energy at -29.1 eV per cell.

Cell lengths 4.887, 5.341, 8.478 Å; angles 106.26, 90.00, 117.23 degrees
Element x y z (fractional)
Pm (0.801, 0.602, 0.364)
Pm (0.199, 0.398, 0.636)
Dy (0.373, 0.746, 0.090)
Dy (0.627, 0.254, 0.910)
Sn (0.911, 0.823, 0.786)
Sn (0.089, 0.177, 0.214)

***

# PmDyZnSn

PmDyZnSn after structural relaxation (PBE-GGA, the Alexandria database).

Its space group is F-43m (216). The value obtained for the formation energy is -49.1 kJ/mol of atoms. For the calculated density, the calculation gives 7.99 g/cm3. The calculation puts the total energy at -16.7 eV per cell.

Cell lengths 5.248, 5.248, 5.248 Å; angles 60.00, 60.00, 60.00 degrees
Element x y z (fractional)
Zn (0.000, 0.000, 0.000)
Pm (0.250, 0.250, 0.250)
Sn (0.500, 0.500, 0.500)
Dy (0.750, 0.750, 0.750)

***

# Pm2DyZn2Sn2

Pm2DyZn2Sn2 after structural relaxation (PBE-GGA, the Alexandria database).

Its space group is R-3m (166). The value obtained for the formation energy is -34.3 kJ/mol of atoms. For the calculated density, the calculation gives 7.61 g/cm3. The calculation puts the total energy at -27.1 eV per cell.

Cell lengths 4.656, 4.656, 9.911 Å; angles 76.41, 76.41, 60.00 degrees
Element x y z (fractional)
Pm (0.129, 0.129, 0.612)
Pm (0.871, 0.871, 0.388)
Dy (0.000, 0.000, 0.000)
Zn (0.586, 0.586, 0.243)
Zn (0.414, 0.414, 0.757)
Sn (0.729, 0.729, 0.812)
Sn (0.271, 0.271, 0.188)